No. 1
A plane-wave DFT calculation with GGA-PBE was carried out for CuCSN2 after structural relaxation.

Results
ρ = 2.46 g/cm³
volume = 92 Å³/cell
polymorph energy (0 for the lowest one) = 4.348 eV per formula unit

Unit cell a=3.4286 b=3.4286 c=7.7982 alpha=90.00 beta=90.00 gamma=90.00
Last column: magnetic moment on the atom in μB.
Fractional positions:
1 S 0.0000 0.0000 0.5000  -0.08
2 C 0.5000 0.5000 0.5000  0.34
3 Cu 0.0000 0.0000 0.0000  0.21
4 N 0.0000 0.5000 0.0000  0.45
5 N 0.5000 0.0000 0.0000  0.45

***

No. 2
A plane-wave DFT calculation with GGA-PBE was carried out for MgInAu2 after structural relaxation.

Results
ρ = 10.37 g/cm³
volume = 85 Å³/cell
formation energy from the elements = -263.9 meV per atom

Unit cell a=8.3221 b=8.3221 c=8.3221 alpha=24.23 beta=24.23 gamma=24.23
Fractional positions:
1 Au 0.0040 0.0040 0.0040
2 Au 0.4960 0.4960 0.4960
3 In 0.2500 0.2500 0.2500
4 Mg 0.7500 0.7500 0.7500

***

No. 3
A plane-wave DFT calculation with GGA-PBE was carried out for AlCr2In after structural relaxation.

Results
ρ = 6.13 g/cm³
volume = 67 Å³/cell
formation energy from the elements = 426.0 meV per atom

Unit cell a=4.6252 b=4.6252 c=5.2754 alpha=80.92 beta=80.92 gamma=36.76
Last column: magnetic moment on the atom in μB.
Fractional positions:
1 Cr 0.0041 0.0041 0.9696  2.54
2 Cr 0.4959 0.4959 0.5304  2.54
3 Al 0.7500 0.7500 0.7500  -0.05
4 In 0.2500 0.2500 0.2500  -0.07

***

| no. | magnetization (μB/f.u.) |
| --- | --- |
| 1 | 2.00 |
| 2 | 0.00 |
| 3 | 5.31 |